This record from Alexandria describes crystalline ThGa4Ag at its relaxed geometry. The functional is PBE-GGA. Values from VASP.

- Crystal system: cubic
- Space-group type: F-43m
- DFT total energy: -3.87 eV per atom
- Calculated formation energy: -0.135 eV/atom

The structure in Quantum ESPRESSO input format:
```
&SYSTEM
  ibrav = 0, nat = 6, ntyp = 3
/
ATOMIC_SPECIES
Ga 69.72 Ga.upf
Ag 107.87 Ag.upf
Th 232.04 Th.upf
CELL_PARAMETERS angstrom
-1.191 -1.658 -5.175
-2.277 -5.002 -0.864
-5.300 -0.397 -1.644
ATOMIC_POSITIONS angstrom
Ga -2.824 -4.214 -3.980
Ag -2.192 -1.764 -1.921
Th 0.000 0.000 0.000
Ga -4.341 -1.903 -4.372
Ga -4.886 -3.581 -2.208
Ga -5.484 -4.413 -4.805
```

***

This record from Alexandria describes crystalline HoMg2Tl2Cd2 at its relaxed geometry. The functional is PBE-GGA. Values from VASP.

- Crystal system: monoclinic
- Space-group type: C2/m
- DFT total energy: -2.18 eV per atom
- Calculated formation energy: -0.137 eV/atom

The structure in Quantum ESPRESSO input format:
```
&SYSTEM
  ibrav = 0, nat = 7, ntyp = 4
/
ATOMIC_SPECIES
Cd 112.41 Cd.upf
Mg 24.30 Mg.upf
Ho 164.93 Ho.upf
Tl 204.38 Tl.upf
CELL_PARAMETERS angstrom
4.879 0.000 0.000
-2.439 4.332 -0.261
0.000 -2.036 8.167
ATOMIC_POSITIONS angstrom
Cd 2.439 1.972 4.532
Mg 0.000 3.084 2.129
Ho 0.000 0.000 0.000
Tl 2.439 1.549 1.278
Mg 2.439 -0.788 5.777
Cd 0.000 0.324 3.374
Tl 0.000 0.747 6.628
```

***

This record from Alexandria describes crystalline CsTc2Pt at its relaxed geometry. The functional is PBE-GGA. Values from VASP.

- Crystal system: cubic
- Space-group type: Fm-3m
- DFT total energy: -5.30 eV per atom
- Calculated formation energy: 1.610 eV/atom

The structure in Quantum ESPRESSO input format:
```
&SYSTEM
  ibrav = 0, nat = 4, ntyp = 3
/
ATOMIC_SPECIES
Cs 132.91 Cs.upf
Pt 195.08 Pt.upf
Tc 98.00 Tc.upf
CELL_PARAMETERS angstrom
-1.204 -3.713 2.591
-3.860 -2.438 -1.051
0.369 -4.318 -1.780
ATOMIC_POSITIONS angstrom
Cs 0.000 0.000 0.000
Pt -2.347 -5.234 -0.120
Tc -3.520 -7.852 -0.180
Tc -1.173 -2.617 -0.060
```